Crystalline MgNi2HRh at its relaxed geometry. Source: Alexandria via LeMat-Bulk, functional PBE.

Values from the calculation:
M_tot	1.078	μB/f.u.
raw total energy	-4.96	eV per atom
DOS(E_F)	4.3	states/eV/f.u.

abc: 3.745 3.745 3.887
angles: 90.00 90.00 90.00
Space group P4/mmm (No. 123)
Unique sites:
Mg: 0.000 0.000 0.000
Ni: 0.000 0.500 0.500
H: 0.500 0.500 0.500
Rh: 0.500 0.500 0.000